# Y2ZnAg (PBE, relaxed)
data_Y2ZnAg
_chemical_formula_sum 'Y4 Zn2 Ag2'
_symmetry_space_group_name_H-M 'I -4 m 2'
_symmetry_Int_Tables_number 119
_symmetry_space_group_name_Hall 'I -4 -2'
_cell_length_a 4.3037
_cell_length_b 4.3037
_cell_length_c 10.2216
_cell_angle_alpha 90.00
_cell_angle_beta 90.00
_cell_angle_gamma 90.00
loop_
_atom_site_label
_atom_site_fract_x
_atom_site_fract_y
_atom_site_fract_z
Y1 0.0000 0.0000 0.0000
Y2 0.0000 0.5000 0.2500
Zn1 0.0000 0.5000 0.7500
Ag1 0.0000 0.0000 0.5000
# DOS(E_F), states/eV per atom: 1.10
# Energy relative to the elements, eV per atom: -0.144
# Magnetic moment, μB/cell: 0.0